The following is a DFT calculation (PBE-GGA) of a relaxed structure of SrMnHg4.

The structure belongs to space group F-43m (No. 216); the cell edges are 8.5115, 8.5115 and 8.5115 Å and the angles 90.00°, 90.00° and 90.00°. The asymmetric unit holds Sr at (0.0000, 0.0000, 0.0000), Mn at (0.2500, 0.2500, 0.2500) and Hg at (0.1245, 0.1245, 0.6245).

Its formation energy from the elements is 0.097 eV per atom. As for the calculated total energy: -1.91 eV per atom.